No. 1
! NiSnW4C2 PBE-GGA relaxed; values from VASP
! Uncorrected energy (eV/atom): -9.719
&SYSTEM
  ibrav = 0, nat = 8, ntyp = 4
/
ATOMIC_SPECIES
Ni 58.69 Ni.upf
Sn 118.71 Sn.upf
W 183.84 W.upf
C 12.01 C.upf
CELL_PARAMETERS angstrom
3.123 0.000 0.000
-1.561 2.704 0.000
0.000 0.000 13.156
ATOMIC_POSITIONS crystal
Ni 0.000 0.000 0.000
Sn 0.667 0.333 0.500
W 0.000 0.000 0.320
W 0.000 0.000 0.680
W 0.667 0.333 0.147
W 0.667 0.333 0.853
C 0.333 0.667 0.236
C 0.333 0.667 0.764

No. 2
! Ta2NiC PBE-GGA relaxed; values from VASP
! Uncorrected energy (eV/atom): -9.977
&SYSTEM
  ibrav = 0, nat = 24, ntyp = 3
/
ATOMIC_SPECIES
Ta 180.95 Ta.upf
Ni 58.69 Ni.upf
C 12.01 C.upf
CELL_PARAMETERS angstrom
4.653 -2.681 0.000
4.653 2.681 0.000
-3.111 0.000 12.974
ATOMIC_POSITIONS crystal
Ta 0.033 0.865 0.597
Ta 0.135 0.967 0.903
Ta 0.199 0.366 0.097
Ta 0.300 0.468 0.403
Ta 0.366 0.199 0.597
Ta 0.468 0.300 0.903
Ta 0.532 0.700 0.097
Ta 0.634 0.801 0.403
Ta 0.700 0.532 0.597
Ta 0.801 0.634 0.903
Ta 0.865 0.033 0.097
Ta 0.967 0.135 0.403
Ni 0.084 0.247 0.750
Ni 0.247 0.084 0.250
Ni 0.421 0.579 0.750
Ni 0.579 0.421 0.250
Ni 0.753 0.916 0.750
Ni 0.916 0.753 0.250
C 0.000 0.500 0.500
C 0.167 0.666 0.000
C 0.334 0.833 0.500
C 0.500 0.000 0.000
C 0.666 0.167 0.500
C 0.833 0.334 0.000

No. 3
! Ta4Ni2C PBE-GGA relaxed; values from VASP
! Uncorrected energy (eV/atom): -10.115
&SYSTEM
  ibrav = 0, nat = 28, ntyp = 3
/
ATOMIC_SPECIES
Ta 180.95 Ta.upf
Ni 58.69 Ni.upf
C 12.01 C.upf
CELL_PARAMETERS angstrom
0.000 5.846 5.846
5.846 0.000 5.846
5.846 5.846 0.000
ATOMIC_POSITIONS crystal
Ta 0.000 0.000 0.000
Ta 0.000 0.000 0.500
Ta 0.000 0.500 0.000
Ta 0.191 0.191 0.559
Ta 0.191 0.559 0.191
Ta 0.191 0.559 0.559
Ta 0.441 0.441 0.809
Ta 0.441 0.809 0.441
Ta 0.441 0.809 0.809
Ta 0.500 0.000 0.000
Ta 0.559 0.191 0.191
Ta 0.559 0.191 0.559
Ta 0.559 0.559 0.191
Ta 0.809 0.441 0.441
Ta 0.809 0.441 0.809
Ta 0.809 0.809 0.441
Ni 0.117 0.794 0.794
Ni 0.206 0.206 0.206
Ni 0.206 0.206 0.883
Ni 0.206 0.883 0.206
Ni 0.794 0.117 0.794
Ni 0.794 0.794 0.117
Ni 0.794 0.794 0.794
Ni 0.883 0.206 0.206
C 0.000 0.500 0.500
C 0.500 0.000 0.500
C 0.500 0.500 0.000
C 0.500 0.500 0.500

No. 4
! Ta2NiC PBE-GGA relaxed; values from VASP
! Uncorrected energy (eV/atom): -9.977
&SYSTEM
  ibrav = 0, nat = 8, ntyp = 3
/
ATOMIC_SPECIES
Ta 180.95 Ta.upf
Ni 58.69 Ni.upf
C 12.01 C.upf
CELL_PARAMETERS angstrom
3.097 0.000 0.000
-1.549 2.682 0.000
0.000 0.000 12.992
ATOMIC_POSITIONS crystal
Ta 0.333 0.667 0.097
Ta 0.333 0.667 0.403
Ta 0.667 0.333 0.597
Ta 0.667 0.333 0.903
Ni 0.333 0.667 0.750
Ni 0.667 0.333 0.250
C 0.000 0.000 0.000
C 0.000 0.000 0.500

No. 5
! Ta3NiC2 PBE-GGA relaxed; values from VASP
! Uncorrected energy (eV/atom): -10.353
&SYSTEM
  ibrav = 0, nat = 12, ntyp = 3
/
ATOMIC_SPECIES
Ta 180.95 Ta.upf
Ni 58.69 Ni.upf
C 12.01 C.upf
CELL_PARAMETERS angstrom
3.152 0.000 0.000
-1.576 2.730 0.000
0.000 0.000 17.810
ATOMIC_POSITIONS crystal
Ta 0.000 0.000 0.000
Ta 0.000 0.000 0.500
Ta 0.333 0.667 0.141
Ta 0.333 0.667 0.359
Ta 0.667 0.333 0.641
Ta 0.667 0.333 0.859
Ni 0.000 0.000 0.250
Ni 0.000 0.000 0.750
C 0.333 0.667 0.575
C 0.333 0.667 0.925
C 0.667 0.333 0.075
C 0.667 0.333 0.425

No. 6
! Ta4NiC3 PBE-GGA relaxed; values from VASP
! Uncorrected energy (eV/atom): -10.561
&SYSTEM
  ibrav = 0, nat = 16, ntyp = 3
/
ATOMIC_SPECIES
Ta 180.95 Ta.upf
Ni 58.69 Ni.upf
C 12.01 C.upf
CELL_PARAMETERS angstrom
3.132 0.000 0.000
-1.566 2.713 0.000
0.000 0.000 23.348
ATOMIC_POSITIONS crystal
Ta 0.000 0.000 0.165
Ta 0.000 0.000 0.335
Ta 0.000 0.000 0.665
Ta 0.000 0.000 0.835
Ta 0.333 0.667 0.057
Ta 0.333 0.667 0.443
Ta 0.667 0.333 0.557
Ta 0.667 0.333 0.943
Ni 0.333 0.667 0.250
Ni 0.667 0.333 0.750
C 0.000 0.000 0.000
C 0.000 0.000 0.500
C 0.333 0.667 0.613
C 0.333 0.667 0.887
C 0.667 0.333 0.113
C 0.667 0.333 0.387

No. 7
! Ta4ZnNiC2 PBE-GGA relaxed; values from VASP
! Uncorrected energy (eV/atom): -9.460
&SYSTEM
  ibrav = 0, nat = 8, ntyp = 4
/
ATOMIC_SPECIES
Ta 180.95 Ta.upf
Zn 65.41 Zn.upf
Ni 58.69 Ni.upf
C 12.01 C.upf
CELL_PARAMETERS angstrom
3.103 0.000 0.000
-1.551 2.687 0.000
0.000 0.000 13.417
ATOMIC_POSITIONS crystal
Ta 0.000 0.000 0.150
Ta 0.000 0.000 0.850
Ta 0.333 0.667 0.335
Ta 0.333 0.667 0.665
Zn 0.000 0.000 0.500
Ni 0.333 0.667 0.000
C 0.667 0.333 0.243
C 0.667 0.333 0.757

No. 8
! Tb2Ni5C3 PBE-GGA relaxed; values from VASP
! Uncorrected energy (eV/atom): -6.808
&SYSTEM
  ibrav = 0, nat = 20, ntyp = 3
/
ATOMIC_SPECIES
Tb 158.93 Tb.upf
Ni 58.69 Ni.upf
C 12.01 C.upf
CELL_PARAMETERS angstrom
8.237 0.000 0.000
0.000 8.237 0.000
0.000 0.000 3.836
ATOMIC_POSITIONS crystal
Tb 0.157 0.343 0.000
Tb 0.343 0.843 0.000
Tb 0.657 0.157 0.000
Tb 0.843 0.657 0.000
Ni 0.000 0.000 0.000
Ni 0.078 0.788 0.500
Ni 0.212 0.078 0.500
Ni 0.288 0.578 0.500
Ni 0.422 0.288 0.500
Ni 0.500 0.500 0.000
Ni 0.578 0.712 0.500
Ni 0.712 0.422 0.500
Ni 0.788 0.922 0.500
Ni 0.922 0.212 0.500
C 0.000 0.000 0.500
C 0.059 0.559 0.500
C 0.441 0.059 0.500
C 0.500 0.500 0.500
C 0.559 0.941 0.500
C 0.941 0.441 0.500